1.
DFT (PBE-GGA) results for an optimized crystal structure of TeIr2Au.

Results
E_tot: -5.349 eV/atom
Offset from the most stable computed form: 394 meV per atom

```
data_TeIr2Au
_chemical_formula_sum 'Te2 Ir4 Au2'
_cell_length_a 2.9405
_cell_length_b 5.0807
_cell_length_c 9.4950
_cell_angle_alpha 90.00
_cell_angle_beta 90.00
_cell_angle_gamma 90.00
_space_group_name_H-M_alt 'C m m m'
_space_group_IT_number 65
_space_group_name_Hall '-C 2 2'
loop_
_atom_site_label
_atom_site_fract_x
_atom_site_fract_y
_atom_site_fract_z
Te1 0.0000 0.0000 0.0000
Ir1 0.0000 0.5000 0.2505
Au1 0.0000 0.0000 0.5000
```


2.
DFT (PBE-GGA) results for an optimized crystal structure of DyZnNi.

Results
E_tot: -4.347 eV/atom

```
data_DyZnNi
_chemical_formula_sum 'Dy3 Zn3 Ni3'
_cell_length_a 7.0283
_cell_length_b 7.0283
_cell_length_c 3.7635
_cell_angle_alpha 90.00
_cell_angle_beta 90.00
_cell_angle_gamma 120.00
_space_group_name_H-M_alt 'P -6 2 m'
_space_group_IT_number 189
_space_group_name_Hall 'P -6 -2'
loop_
_atom_site_label
_atom_site_fract_x
_atom_site_fract_y
_atom_site_fract_z
Dy1 0.0000 0.4103 0.0000
Zn1 0.0000 0.7574 0.5000
Ni1 0.0000 0.0000 0.0000
Ni2 0.3333 0.6667 0.5000
```


3.
DFT (PBE-GGA) results for an optimized crystal structure of PIr3Pt.

Results
E_tot: -5.332 eV/atom
Offset from the most stable computed form: 1572 meV per atom

```
data_PIr3Pt
_chemical_formula_sum 'P1 Ir3 Pt1'
_cell_length_a 4.7934
_cell_length_b 4.7934
_cell_length_c 4.7934
_cell_angle_alpha 90.00
_cell_angle_beta 90.00
_cell_angle_gamma 90.00
_space_group_name_H-M_alt 'P m -3 m'
_space_group_IT_number 221
_space_group_name_Hall '-P 4 2 3'
loop_
_atom_site_label
_atom_site_fract_x
_atom_site_fract_y
_atom_site_fract_z
P1 0.0000 0.0000 0.0000
Ir1 0.0000 0.5000 0.5000
Pt1 0.5000 0.5000 0.5000
```


no.,total magnetization (μB/atom)
1,0.000
2,0.000
3,0.654